[1]
Compound: ScAl3Se
Source: Alexandria via LeMat-Bulk
Functional: SCAN
Structure: single point on PBEsol structure

```
ScAl3Se
1.0
5.2579 0.0000 0.0000
0.0000 5.2579 0.0000
0.0000 0.0000 5.2579
Sc Al Se
1 3 1
direct
0.0000 0.0000 0.0000 Sc
0.0000 0.0000 0.5000 Al
0.0000 0.5000 0.0000 Al
0.5000 0.0000 0.0000 Al
0.5000 0.5000 0.5000 Se
```

Summary:
formation energy from raw total energies = 1.088 eV/atom
total energy = -52.13 eV/cell
space group = No. 221


[2]
Compound: Ba2CaBr2
Source: Alexandria via LeMat-Bulk
Functional: SCAN
Structure: single point on PBEsol structure

```
Ba2CaBr2
1.0
-2.6476 2.6476 8.2200
2.6476 -2.6476 8.2200
2.6476 2.6476 -8.2200
Ba Ca Br
2 1 2
direct
0.1364 0.1364 0.0000 Ba
0.8636 0.8636 0.0000 Ba
0.5000 0.5000 0.0000 Ca
0.2500 0.7500 0.5000 Br
0.7500 0.2500 0.5000 Br
```

Summary:
formation energy from raw total energies = -1.277 eV/atom
total energy = -134.07 eV/cell
space group = No. 139


[3]
Compound: Sr2MgAg
Source: Alexandria via LeMat-Bulk
Functional: SCAN
Structure: single point on PBEsol structure

```
Sr2MgAg
1.0
3.8022 0.0000 0.0000
0.0000 3.8022 0.0000
0.0000 0.0000 8.8585
Sr Mg Ag
2 1 1
direct
0.0000 0.0000 0.0000 Sr
0.5000 0.5000 0.3707 Sr
0.5000 0.5000 0.7395 Mg
0.0000 0.0000 0.6072 Ag
```

Summary:
ΔE_f = -0.118 eV per atom
total energy = -81.36 eV/cell
space group = No. 99


[4]
Compound: Mg3ZnCu
Source: Alexandria via LeMat-Bulk
Functional: SCAN
Structure: single point on PBEsol structure

```
Mg3ZnCu
1.0
-1.9875 1.9875 7.0798
1.9875 -1.9875 7.0798
1.9875 1.9875 -7.0798
Mg Zn Cu
3 1 1
direct
0.0000 0.0000 0.0000 Mg
0.3298 0.8298 0.5000 Mg
0.8298 0.3298 0.5000 Mg
0.1858 0.1858 0.0000 Zn
0.4601 0.4601 0.0000 Cu
```

Summary:
ΔE_f = 0.336 eV per atom
E above lowest polymorph = 0 meV/atom
total energy = -41.96 eV/cell
space group = No. 107


[5]
Compound: KGdP2H4O9
Source: Alexandria via LeMat-Bulk
Functional: SCAN
Structure: single point on PBEsol structure

```
KGdP2H4O9
1.0
7.7953 0.0000 0.0000
0.0000 10.4109 0.0000
-0.6055 0.0000 10.1119
K Gd P H O
4 4 8 16 36
direct
0.2474 0.2238 0.1702 K
0.2474 0.2762 0.6702 K
0.7526 0.7238 0.3298 K
0.7526 0.7762 0.8298 K
0.2533 0.6105 0.3245 Gd
0.2533 0.8895 0.8245 Gd
0.7467 0.1105 0.1755 Gd
0.7467 0.3895 0.6755 Gd
0.0287 0.6581 0.6141 P
0.0287 0.8419 0.1141 P
0.3853 0.6066 0.6666 P
0.3853 0.8934 0.1666 P
0.6147 0.1066 0.8334 P
0.6147 0.3934 0.3334 P
0.9713 0.1581 0.8859 P
0.9713 0.3419 0.3859 P
0.1546 0.5805 0.0448 H
0.1546 0.9195 0.5448 H
0.3025 0.0291 0.5382 H
0.3025 0.4709 0.0382 H
0.4330 0.0791 0.3662 H
0.4330 0.4209 0.8662 H
0.4699 0.1986 0.4614 H
0.4699 0.3014 0.9614 H
0.5301 0.6986 0.0386 H
0.5301 0.8014 0.5386 H
0.5670 0.5791 0.1338 H
0.5670 0.9209 0.6338 H
0.6975 0.5291 0.9618 H
0.6975 0.9709 0.4618 H
0.8454 0.0805 0.4552 H
0.8454 0.4195 0.9552 H
0.0477 0.7196 0.1964 O
0.0477 0.7804 0.6964 O
0.0531 0.6825 0.4679 O
0.0531 0.8175 0.9679 O
0.1368 0.0868 0.8614 O
0.1368 0.4132 0.3614 O
0.1844 0.5616 0.6668 O
0.1844 0.9384 0.1668 O
0.2346 0.5272 0.0987 O
0.2346 0.9728 0.5987 O
0.3853 0.1285 0.4402 O
0.3853 0.3715 0.9402 O
0.4115 0.7162 0.7655 O
0.4115 0.7838 0.2655 O
0.4176 0.6482 0.5254 O
0.4176 0.8518 0.0254 O
0.4817 0.0144 0.2132 O
0.4817 0.4856 0.7132 O
0.5183 0.5144 0.2868 O
0.5183 0.9856 0.7868 O
0.5824 0.1482 0.9746 O
0.5824 0.3518 0.4746 O
0.5885 0.2162 0.7345 O
0.5885 0.2838 0.2345 O
0.6147 0.6285 0.0598 O
0.6147 0.8715 0.5598 O
0.7654 0.0272 0.4013 O
0.7654 0.4728 0.9013 O
0.8156 0.0616 0.8332 O
0.8156 0.4384 0.3332 O
0.8632 0.5868 0.6386 O
0.8632 0.9132 0.1386 O
0.9469 0.1825 0.0321 O
0.9469 0.3175 0.5321 O
0.9523 0.2196 0.3036 O
0.9523 0.2804 0.8036 O
```

Summary:
total energy = -785.60 eV/cell
space group = No. 14


[6]
Compound: Ba3TaS
Source: Alexandria via LeMat-Bulk
Functional: SCAN
Structure: single point on PBEsol structure

```
Ba3TaS
1.0
5.7668 0.0000 0.0000
0.0000 5.7668 0.0000
0.0000 0.0000 5.7668
Ba Ta S
3 1 1
direct
0.0000 0.0000 0.5000 Ba
0.0000 0.5000 0.0000 Ba
0.5000 0.0000 0.0000 Ba
0.0000 0.0000 0.0000 Ta
0.5000 0.5000 0.5000 S
```

Summary:
formation energy from raw total energies = 0.459 eV/atom
total energy = -192.57 eV/cell
space group = No. 221


[7]
Compound: K2CuH4Cl4O2
Source: Alexandria via LeMat-Bulk
Functional: SCAN
Structure: single point on PBEsol structure

```
K2CuH4Cl4O2
1.0
7.3505 0.0000 0.0000
0.0000 7.3505 0.0000
0.0000 0.0000 7.7812
K Cu H Cl O
4 2 8 8 4
direct
0.0000 0.5000 0.2500 K
0.0000 0.5000 0.7500 K
0.5000 0.0000 0.2500 K
0.5000 0.0000 0.7500 K
0.0000 0.0000 0.0000 Cu
0.5000 0.5000 0.5000 Cu
0.0784 0.0784 0.3233 H
0.0784 0.0784 0.6767 H
0.4216 0.5784 0.1767 H
0.4216 0.5784 0.8233 H
0.5784 0.4216 0.1767 H
0.5784 0.4216 0.8233 H
0.9216 0.9216 0.3233 H
0.9216 0.9216 0.6767 H
0.2172 0.2172 0.0000 Cl
0.2202 0.2202 0.5000 Cl
0.2798 0.7202 0.0000 Cl
0.2828 0.7172 0.5000 Cl
0.7172 0.2828 0.5000 Cl
0.7202 0.2798 0.0000 Cl
0.7798 0.7798 0.5000 Cl
0.7828 0.7828 0.0000 Cl
0.0000 0.0000 0.2480 O
0.0000 0.0000 0.7520 O
0.5000 0.5000 0.2520 O
0.5000 0.5000 0.7480 O
```

Summary:
total energy = -214.58 eV/cell
space group = No. 136


[8]
Compound: HfTlAsSe2
Source: Alexandria via LeMat-Bulk
Functional: SCAN
Structure: single point on PBEsol structure

```
HfTlAsSe2
1.0
5.1102 0.0000 0.0000
0.0000 5.1102 0.0000
0.0000 0.0000 5.0911
Hf Tl As Se
1 1 1 2
direct
0.0000 0.0000 0.0000 Hf
0.5000 0.5000 0.5000 Tl
0.5000 0.5000 0.0000 As
0.0000 0.5000 0.5000 Se
0.5000 0.0000 0.5000 Se
```

Summary:
formation energy from raw total energies = 0.964 eV/atom
total energy = -190.56 eV/cell
space group = No. 123


[9]
Compound: KFeI2
Source: Alexandria via LeMat-Bulk
Functional: SCAN
Structure: single point on PBEsol structure

```
KFeI2
1.0
0.0000 3.8190 3.8190
3.8190 0.0000 3.8190
3.8190 3.8190 0.0000
K Fe I
1 1 2
direct
0.0000 0.0000 0.0000 K
0.5000 0.5000 0.5000 Fe
0.2500 0.2500 0.2500 I
0.7500 0.7500 0.7500 I
```

Summary:
formation energy from raw total energies = -0.257 eV/atom
total energy = -100.97 eV/cell
space group = No. 225


[10]
Compound: Sc2AlCu
Source: Alexandria via LeMat-Bulk
Functional: SCAN
Structure: single point on PBEsol structure

```
Sc2AlCu
1.0
4.2507 0.0000 0.0000
0.0000 1.6395 5.2910
0.0000 -1.6395 5.2910
Sc Al Cu
2 1 1
direct
0.0000 0.0000 0.0000 Sc
0.5000 0.3164 0.3164 Sc
0.0000 0.7234 0.7234 Al
0.5000 0.5883 0.5883 Cu
```

Summary:
ΔE_f = -0.349 eV per atom
total energy = -52.82 eV/cell
space group = No. 38


[11]
Compound: ZrSc2F
Source: Alexandria via LeMat-Bulk
Functional: SCAN
Structure: single point on PBEsol structure

```
ZrSc2F
1.0
1.5064 0.8697 9.2425
-1.5064 0.8697 9.2425
0.0000 -1.7394 9.2425
Zr Sc F
1 2 1
direct
0.0000 0.0000 0.0000 Zr
0.1061 0.1061 0.1061 Sc
0.8939 0.8939 0.8939 Sc
0.5000 0.5000 0.5000 F
```

Summary:
formation energy from raw total energies = -0.873 eV/atom
total energy = -66.20 eV/cell
space group = No. 166


[12]
Compound: BaFe2Ir
Source: Alexandria via LeMat-Bulk
Functional: SCAN
Structure: single point on PBEsol structure

```
BaFe2Ir
1.0
3.2318 0.0000 0.0000
0.0000 3.2318 0.0000
0.0000 0.0000 7.2243
Ba Fe Ir
1 2 1
direct
0.0000 0.0000 0.0000 Ba
0.5000 0.5000 0.3462 Fe
0.5000 0.5000 0.6538 Fe
0.0000 0.0000 0.5000 Ir
```

Summary:
ΔE_f = 0.386 eV per atom
total energy = -145.36 eV/cell
space group = No. 123